The following is a PBE-GGA calculation of a geometry-optimized Pr2ThCr2C4 structure, from Alexandria via LeMat-Bulk.

Structure (extended XYZ):
```
9
Lattice="6.8555 -1.7839 0.0000 6.8555 1.7839 0.0000 -2.0408 0.0000 5.8410" Properties=species:S:1:pos:R:3 pbc="T T T"
Pr 1.7949 0.0000 0.2752
Pr 9.8754 0.0000 5.5658
Th -1.0204 0.0000 2.9205
Cr 3.2986 0.0000 2.9242
Cr 8.3716 0.0000 2.9167
C 1.5670 0.0000 3.8646
C 4.5833 0.0000 4.2616
C 7.0869 0.0000 1.5794
C 10.1032 0.0000 1.9763
```

Computed properties:
Formation enthalpy at 0 K = -0.03 eV per atom
N(E_F) = 6.9 states/eV/f.u.
Magnetization = 0.0 μB per cell
Symmetry = C2/m
Total energy = -8.155 eV/atom